1.
First-principles (PBE-GGA) data for a geometry-optimized Sr2InReN structure, as listed in the Alexandria database.

```
Sr2InReN
1.0
5.4881 0.0000 0.0000
0.0000 5.4881 0.0000
0.0000 0.0000 3.9156
Re N Sr In
1 1 2 1
direct
0.0000 0.0000 0.5000 Re
0.0000 0.0000 0.0000 N
0.0000 0.5000 0.0000 Sr
0.5000 0.0000 0.0000 Sr
0.5000 0.5000 0.5000 In
```

## Properties
The crystal system is tetragonal. Its uncorrected formation energy is -0.224 eV per atom. Its total energy is -5.599 eV per atom. The polymorph energy (0 for the lowest one) is 0 meV per atom. The value obtained for the density of states at the Fermi level is 0.616 states/eV/atom.



2.
First-principles (PBE-GGA) data for a geometry-optimized YIn2ReN structure, as listed in the Alexandria database.

```
YIn2ReN
1.0
-3.5997 2.5475 4.0159
-0.1871 -3.5235 2.0675
4.7479 1.6362 3.2180
Y Re N In
1 1 1 2
direct
0.0000 0.0000 0.0000 Y
0.5000 0.5000 0.5000 Re
0.0000 0.5000 0.0000 N
0.0000 0.0000 0.5000 In
0.5000 0.0000 0.0000 In
```

## Properties
The crystal system is tetragonal. Its uncorrected formation energy is 1.575 eV per atom. Its total energy is -4.967 eV per atom. The value obtained for the density of states at the Fermi level is 0.782 states/eV/atom.



3.
First-principles (PBE-GGA) data for a geometry-optimized ZnIn2ReN structure, as listed in the Alexandria database.

```
ZnIn2ReN
1.0
5.4256 0.0000 0.0000
0.0000 3.8079 0.0000
0.0000 0.0000 5.4256
Re Zn N In
1 1 1 2
direct
0.0000 0.0000 0.0000 Re
0.5000 0.5000 0.5000 Zn
0.0000 0.5000 0.0000 N
0.0000 0.0000 0.5000 In
0.5000 0.0000 0.0000 In
```

## Properties
The crystal system is tetragonal. Its uncorrected formation energy is 0.429 eV per atom. Its total energy is -5.076 eV per atom. The value obtained for the density of states at the Fermi level is 0.443 states/eV/atom.



4.
First-principles (PBE-GGA) data for a geometry-optimized InRh2N structure, as listed in the Alexandria database.

```
InRh2N
1.0
5.4929 0.0000 0.0000
0.0000 5.4929 0.0000
2.7464 2.7464 4.6787
N Rh In
2 4 2
direct
0.5000 0.5000 0.0000 N
0.2500 0.7500 0.5000 N
0.5009 0.1250 0.2500 Rh
0.2491 0.6250 0.2500 Rh
0.3750 0.4991 0.7500 Rh
0.8750 0.7509 0.7500 Rh
0.0000 0.0000 0.0000 In
0.7500 0.2500 0.5000 In
```

## Properties
The crystal system is tetragonal. Its uncorrected formation energy is 0.206 eV per atom. Its total energy is -6.235 eV per atom. The polymorph energy (0 for the lowest one) is 0 meV per atom. The value obtained for the density of states at the Fermi level is 0.495 states/eV/atom.



5.
First-principles (PBE-GGA) data for a geometry-optimized In2RhN structure, as listed in the Alexandria database.

```
In2RhN
1.0
6.6704 0.0000 0.0000
0.0000 6.6704 0.0000
3.3352 3.3352 3.0174
N Rh In
2 2 4
direct
0.5000 0.5000 0.0000 N
0.2500 0.7500 0.5000 N
0.0000 0.0000 0.0000 Rh
0.7500 0.2500 0.5000 Rh
0.5646 0.1250 0.2500 In
0.1854 0.6250 0.2500 In
0.3750 0.4354 0.7500 In
0.8750 0.8146 0.7500 In
```

## Properties
The crystal system is tetragonal. Its uncorrected formation energy is 0.348 eV per atom. Its total energy is -4.941 eV per atom. The value obtained for the density of states at the Fermi level is 0.371 states/eV/atom.



6.
First-principles (PBE-GGA) data for a geometry-optimized In2Rh6N structure, as listed in the Alexandria database.

```
In2Rh6N
1.0
5.7175 0.0000 -0.1506
0.0000 5.7188 0.0000
0.2136 0.0000 8.0687
In Rh N
4 12 2
direct
0.9999 0.5000 0.7499 In
0.5001 0.0000 0.7501 In
0.4999 0.0000 0.2499 In
0.0001 0.5000 0.2501 In
0.9999 0.0000 0.2455 Rh
0.7459 0.7462 0.5000 Rh
0.7539 0.7541 0.0000 Rh
0.7461 0.2541 0.5000 Rh
0.7541 0.2462 0.0000 Rh
0.5001 0.5000 0.2545 Rh
0.0001 0.0000 0.7545 Rh
0.2541 0.2538 0.5000 Rh
0.2461 0.2459 0.0000 Rh
0.2539 0.7459 0.5000 Rh
0.2459 0.7538 0.0000 Rh
0.4999 0.5000 0.7455 Rh
0.5000 0.5000 0.0000 N
0.0000 0.0000 0.5000 N
```

## Properties
The crystal system is tetragonal. Its uncorrected formation energy is -0.166 eV per atom. Its total energy is -6.601 eV per atom. The value obtained for the density of states at the Fermi level is 0.748 states/eV/atom.



7.
First-principles (PBE-GGA) data for a geometry-optimized In2Rh4N structure, as listed in the Alexandria database.

```
In2Rh4N
1.0
-1.4802 -2.4697 -2.7977
2.5302 -2.8765 1.2007
-4.2489 -4.9712 3.7558
N Rh In
1 4 2
direct
0.0000 0.0000 0.0000 N
0.8464 0.8464 0.3072 Rh
0.1536 0.1536 0.6928 Rh
0.0000 0.5000 0.0000 Rh
0.5000 0.0000 0.0000 Rh
0.6534 0.6534 0.6931 In
0.3466 0.3466 0.3069 In
```

## Properties
The crystal system is tetragonal. Its uncorrected formation energy is 0.008 eV per atom. Its total energy is -6.164 eV per atom. The value obtained for the density of states at the Fermi level is 0.583 states/eV/atom.



8.
First-principles (PBE-GGA) data for a geometry-optimized InRhN structure, as listed in the Alexandria database.

```
InRhN
1.0
2.8991 0.0000 0.0000
-1.4495 4.7467 0.7294
0.0000 0.3620 7.9916
N Rh In
2 2 2
direct
0.9718 0.9436 0.0736 N
0.0282 0.0564 0.9264 N
0.6000 0.2001 0.7492 Rh
0.4000 0.7999 0.2508 Rh
0.3506 0.7012 0.6253 In
0.6494 0.2988 0.3747 In
```

## Properties
The crystal system is monoclinic. Its uncorrected formation energy is 0.134 eV per atom. Its total energy is -6.005 eV per atom. The value obtained for the density of states at the Fermi level is 0.497 states/eV/atom.